(1)
Entry from the Alexandria database: a geometry-optimized Pm5CdSn3 structure (PBE).

Summary:
M_tot	0.00	μB/f.u.
formation enthalpy at 0 K	-0.6552	eV/atom

Cell: 6.6621 9.5469 9.5470 Å, 120.00 90.00 90.00°
Fractional coordinates of all 18 atoms:
Pm (0.2500, 0.7131, 0.0000)
Pm (0.0000, 0.3333, 0.6666)
Pm (0.7500, 0.2869, 0.0000)
Pm (0.0000, 0.6667, 0.3334)
Pm (0.7500, 0.7131, 0.7131)
Pm (0.5000, 0.6667, 0.3334)
Pm (0.5000, 0.3333, 0.6666)
Pm (0.2500, 0.0000, 0.7131)
Pm (0.2500, 0.2869, 0.2869)
Pm (0.7500, 0.0000, 0.2869)
Sn (0.2500, 0.3704, 0.0000)
Sn (0.2500, 0.6297, 0.6297)
Sn (0.2500, 0.0000, 0.3703)
Sn (0.7500, 0.0000, 0.6297)
Sn (0.7500, 0.6296, 0.0000)
Sn (0.7500, 0.3703, 0.3703)
Cd (0.5000, 0.0000, 0.0000)
Cd (0.0000, 0.0000, 0.0000)


(2)
Entry from the Alexandria database: a geometry-optimized Pm3Cd2Sn structure (PBE).

Summary:
M_tot	0.00	μB/f.u.
relative energy among the computed polymorphs	0.0000	eV/atom
formation enthalpy at 0 K	-0.4671	eV/atom

Cell: 3.8102 5.4167 16.4284 Å, 90.00 90.00 90.00°
Fractional coordinates of all 12 atoms:
Cd (0.9997, 0.0000, 0.6757)
Cd (0.0003, 0.5000, 0.1757)
Cd (0.9997, 0.0000, 0.3243)
Cd (0.0003, 0.5000, 0.8243)
Pm (0.4999, 0.5000, 0.6642)
Pm (0.4999, 0.5000, 0.3358)
Pm (0.5001, 0.0000, 0.8358)
Pm (0.4989, 0.0000, 0.5000)
Pm (0.5011, 0.5000, 0.0000)
Pm (0.5001, 0.0000, 0.1642)
Sn (0.0008, 0.0000, 0.0000)
Sn (0.9992, 0.5000, 0.5000)